Li2LaZr: single point on PBEsol structure, SCAN.

Cell lengths 6.273, 6.273, 3.138 Å; angles 102.34, 102.34, 121.86 degrees
Sites, in units of the cell vectors:
Li 0.000 0.500 0.000
Li 0.500 0.000 0.000
La 0.000 0.000 0.500
Zr 0.500 0.500 0.500

Computed properties:
ΔE to the lowest computed polymorph ... 0.00 eV/f.u.
ΔH_f (0 K) ... 27.3 kJ/mol of atoms



YTl2As: single point on PBEsol structure, SCAN.

Cell lengths 3.886, 3.887, 7.017 Å; angles 90.00, 90.45, 90.00 degrees
Sites, in units of the cell vectors:
Y 0.000 0.000 0.000
Tl 0.491 0.500 0.691
Tl 0.984 0.000 0.446
As 0.501 0.500 0.101

Computed properties:
ΔE to the lowest computed polymorph ... 0.00 eV/f.u.
ΔH_f (0 K) ... -58.4 kJ/mol of atoms



YFeAg4: single point on PBEsol structure, SCAN.

Cell lengths 5.379, 5.379, 5.379 Å; angles 60.00, 60.00, 60.00 degrees
Sites, in units of the cell vectors:
Y 0.000 0.000 0.000
Fe 0.750 0.750 0.750
Ag 0.376 0.376 0.376
Ag 0.376 0.376 0.873
Ag 0.376 0.873 0.376
Ag 0.873 0.376 0.376

Computed properties:
ΔH_f (0 K) ... 7.7 kJ/mol of atoms



K2TiTe3O12: single point on PBEsol structure, SCAN.

Cell lengths 7.143, 7.143, 7.143 Å; angles 119.59, 119.59, 60.41 degrees
Sites, in units of the cell vectors:
K 0.136 0.136 0.364
K 0.864 0.864 0.636
Ti 0.490 0.510 0.000
Te 0.490 0.010 0.000
Te 0.490 0.510 0.500
Te 0.990 0.510 0.000
O 0.163 0.183 0.929
O 0.163 0.582 0.327
O 0.170 0.578 0.933
O 0.418 0.837 0.673
O 0.422 0.444 0.680
O 0.422 0.830 0.067
O 0.556 0.191 0.933
O 0.556 0.578 0.320
O 0.560 0.183 0.327
O 0.809 0.444 0.067
O 0.817 0.440 0.673
O 0.817 0.837 0.071

Computed properties:
Raw formation energy ... -1.70 eV/atom



| no. | E_tot (eV per atom) |
| --- | --- |
| 1 | -19.363 |
| 2 | -48.793 |
| 3 | -28.494 |
| 4 | -13.880 |